A relaxed structure of Pm3Pr3Ge4, computed with PBE.

Lattice parameters (Å, degrees): 4.302 11.202 11.238 90.00 90.00 90.00
Space group Amm2 (No. 38)
Inequivalent atoms, fractional coordinates:
Pm1 0.000 0.000 0.000 (multiplicity 2)
Pm2 0.000 0.173 0.675 (multiplicity 4)
Pr1 0.000 0.000 0.347 (multiplicity 2)
Pr2 0.500 0.249 0.423 (multiplicity 4)
Ge1 0.500 0.000 0.557 (multiplicity 2)
Ge2 0.500 0.000 0.795 (multiplicity 2)
Ge3 0.500 0.121 0.172 (multiplicity 4)

Crystal system = orthorhombic


A relaxed structure of PmPr2Ge2, computed with PBE.

Lattice parameters (Å, degrees): 12.647 4.507 10.943 90.00 116.39 90.00
Space group C2/m (No. 12)
Inequivalent atoms, fractional coordinates:
Pm1 0.219 0.000 0.359 (multiplicity 4)
Pr1 0.015 0.500 0.687 (multiplicity 4)
Pr2 0.180 0.500 0.088 (multiplicity 4)
Ge1 0.025 0.000 0.896 (multiplicity 4)
Ge2 0.114 0.000 0.561 (multiplicity 4)

Energy above the lowest structure with this stoichiometry = 71 meV per atom
Crystal system = monoclinic


A relaxed structure of Pm5PrGe2, computed with PBE.

Lattice parameters (Å, degrees): 4.550 9.589 11.006 90.00 90.00 90.00
Space group Immm (No. 71)
Inequivalent atoms, fractional coordinates:
Pm1 0.000 0.000 0.000 (multiplicity 2)
Pm2 0.000 0.311 0.340 (multiplicity 8)
Pr1 0.000 0.500 0.000 (multiplicity 2)
Ge1 0.000 0.000 0.289 (multiplicity 4)

Crystal system = orthorhombic


| no. | total DFT energy (no corrections) (eV per atom) | formation energy (eV per atom) | Fermi-level density of states (states/eV per atom) |
| --- | --- | --- | --- |
| 1 | -5.429 | -0.72 | 1.172 |
| 2 | -5.376 | -0.67 | 0.707 |
| 3 | -5.061 | -0.34 | 1.316 |